Compound: TbPm2Sm6Y3
Source: Alexandria
Functional: PBE-GGA
Structure: optimized geometry

Summary:
For the volume, the calculation gives 33.3 Å³/atom. The spin magnetization comes out at 0.00 μB/atom. The value obtained for the density is 6.720 g/cm3. The value obtained for the calculated total energy is -0.378 Ry/atom. The formation energy comes out at 15 kJ/mol of formula units.

Cell lengths 6.262, 10.845, 11.956 Å; angles 90.00, 100.05, 90.00 degrees
Space group C2/m (No. 12)
Asymmetric unit:
Tb  0.000  0.000  0.000 (multiplicity 2)
Pm  0.000  0.333  0.000 (multiplicity 4)
Sm  0.249  0.000  0.748 (multiplicity 4)
Sm  0.250  0.166  0.251 (multiplicity 8)
Y  0.000  0.167  0.500 (multiplicity 4)
Y  0.000  0.500  0.500 (multiplicity 2)



Compound: Tb2Pm2SmY
Source: Alexandria
Functional: PBE-GGA
Structure: optimized geometry

Summary:
For the volume, the calculation gives 34.0 Å³/atom. The spin magnetization comes out at 0.00 μB/atom. The value obtained for the density is 6.894 g/cm3. The value obtained for the calculated total energy is -0.348 Ry/atom. The formation energy comes out at 150 kJ/mol of formula units.

Cell lengths 6.655, 18.009, 3.405 Å; angles 90.00, 90.00, 90.00 degrees
Space group Pnnm (No. 58)
Asymmetric unit:
Tb  0.229  0.147  0.000 (multiplicity 4)
Pm  0.231  0.315  0.500 (multiplicity 4)
Sm  0.000  0.000  0.500 (multiplicity 2)
Y  0.000  0.500  0.500 (multiplicity 2)



Compound: TbPmSmY3
Source: Alexandria
Functional: PBE-GGA
Structure: optimized geometry

Summary:
For the volume, the calculation gives 32.8 Å³/atom. The spin magnetization comes out at 0.00 μB/atom. The value obtained for the density is 6.087 g/cm3. The value obtained for the calculated total energy is -0.409 Ry/atom. The formation energy comes out at 11 kJ/mol of formula units.

Cell lengths 5.079, 15.247, 10.161 Å; angles 90.00, 90.00, 90.00 degrees
Space group Cmcm (No. 63)
Asymmetric unit:
Tb  0.000  0.167  0.250 (multiplicity 4)
Pm  0.000  0.499  0.750 (multiplicity 4)
Sm  0.000  0.000  0.000 (multiplicity 4)
Y  0.000  0.167  0.750 (multiplicity 4)
Y  0.000  0.333  0.000 (multiplicity 8)



Compound: TbPm3Sm6Y2
Source: Alexandria
Functional: PBE-GGA
Structure: optimized geometry

Summary:
For the volume, the calculation gives 33.6 Å³/atom. The spin magnetization comes out at 0.00 μB/atom. The value obtained for the density is 6.903 g/cm3. The value obtained for the calculated total energy is -0.367 Ry/atom. The formation energy comes out at 16 kJ/mol of formula units.

Cell lengths 6.275, 10.868, 11.993 Å; angles 90.00, 100.04, 90.00 degrees
Space group C2/m (No. 12)
Asymmetric unit:
Tb  0.000  0.000  0.000 (multiplicity 2)
Pm  0.000  0.167  0.500 (multiplicity 4)
Pm  0.000  0.500  0.500 (multiplicity 2)
Sm  0.249  0.166  0.248 (multiplicity 8)
Sm  0.250  0.000  0.752 (multiplicity 4)
Y  0.000  0.333  0.000 (multiplicity 4)



Compound: TbPm2SmY
Source: Alexandria
Functional: PBE-GGA
Structure: optimized geometry

Summary:
For the volume, the calculation gives 35.5 Å³/atom. The spin magnetization comes out at 0.00 μB/atom. The value obtained for the density is 6.441 g/cm3. The value obtained for the calculated total energy is -0.342 Ry/atom. The formation energy comes out at 196 kJ/mol of formula units.

Cell lengths 8.370, 11.688, 7.253 Å; angles 90.00, 90.00, 90.00 degrees
Space group Cmcm (No. 63)
Asymmetric unit:
Tb  0.000  0.213  0.250 (multiplicity 4)
Pm  0.191  0.000  0.000 (multiplicity 8)
Sm  0.000  0.475  0.250 (multiplicity 4)
Y  0.000  0.240  0.750 (multiplicity 4)



Compound: Tb6Pm3SmY2
Source: Alexandria
Functional: PBE-GGA
Structure: optimized geometry

Summary:
For the volume, the calculation gives 32.7 Å³/atom. The spin magnetization comes out at 0.00 μB/atom. The value obtained for the density is 7.256 g/cm3. The value obtained for the calculated total energy is -0.364 Ry/atom. The formation energy comes out at 17 kJ/mol of formula units.

Cell lengths 6.223, 10.773, 11.900 Å; angles 90.00, 100.00, 90.00 degrees
Space group C2/m (No. 12)
Asymmetric unit:
Tb  0.250  0.000  0.249 (multiplicity 4)
Tb  0.250  0.167  0.751 (multiplicity 8)
Pm  0.000  0.000  0.500 (multiplicity 2)
Pm  0.000  0.333  0.500 (multiplicity 4)
Sm  0.000  0.500  0.000 (multiplicity 2)
Y  0.000  0.167  0.000 (multiplicity 4)



Compound: TbPmSmY
Source: Alexandria
Functional: PBE-GGA
Structure: optimized geometry

Summary:
For the volume, the calculation gives 33.1 Å³/atom. The spin magnetization comes out at 0.00 μB/atom. The calculation puts the excess energy over the best structure of this formula in the dataset at 0.0 meV/atom. The value obtained for the density is 6.815 g/cm3. The value obtained for the calculated total energy is -0.377 Ry/atom. The formation energy comes out at 6 kJ/mol of formula units.

Cell lengths 5.103, 5.103, 10.166 Å; angles 90.00, 90.00, 90.00 degrees
Space group I-4m2 (No. 119)
Asymmetric unit:
Tb  0.000  0.000  0.000 (multiplicity 2)
Pm  0.000  0.500  0.750 (multiplicity 2)
Sm  0.000  0.000  0.500 (multiplicity 2)
Y  0.000  0.500  0.250 (multiplicity 2)



Compound: TbPm6Sm2Y
Source: Alexandria
Functional: PBE-GGA
Structure: optimized geometry

Summary:
For the volume, the calculation gives 34.2 Å³/atom. The spin magnetization comes out at 0.00 μB/atom. The value obtained for the density is 6.884 g/cm3. The value obtained for the calculated total energy is -0.352 Ry/atom. The formation energy comes out at 108 kJ/mol of formula units.

Cell lengths 9.185, 15.384, 9.788 Å; angles 90.00, 98.30, 90.00 degrees
Space group C2/c (No. 15)
Asymmetric unit:
Tb  0.000  0.023  0.250 (multiplicity 4)
Pm  0.062  0.183  0.945 (multiplicity 8)
Pm  0.103  0.394  0.120 (multiplicity 8)
Pm  0.206  0.223  0.314 (multiplicity 8)
Sm  0.248  0.050  0.543 (multiplicity 8)
Y  0.000  0.408  0.750 (multiplicity 4)



Compound: Tb2Pm5SmY
Source: Alexandria
Functional: PBE-GGA
Structure: optimized geometry

Summary:
For the volume, the calculation gives 34.4 Å³/atom. The spin magnetization comes out at 0.00 μB/atom. The value obtained for the density is 6.869 g/cm3. The value obtained for the calculated total energy is -0.350 Ry/atom. The formation energy comes out at 128 kJ/mol of formula units.

Cell lengths 5.678, 20.440, 10.682 Å; angles 90.00, 90.00, 90.00 degrees
Space group Cmc2_1 (No. 36)
Asymmetric unit:
Tb  0.000  0.112  0.000 (multiplicity 4)
Tb  0.000  0.116  0.581 (multiplicity 4)
Pm  0.000  0.016  0.285 (multiplicity 4)
Pm  0.000  0.279  0.574 (multiplicity 4)
Pm  0.000  0.298  0.970 (multiplicity 4)
Pm  0.000  0.390  0.289 (multiplicity 4)
Pm  0.000  0.480  0.006 (multiplicity 4)
Sm  0.000  0.201  0.275 (multiplicity 4)
Y  0.000  0.410  0.722 (multiplicity 4)



Compound: Tb2Pm6SmY3
Source: Alexandria
Functional: PBE-GGA
Structure: optimized geometry

Summary:
For the volume, the calculation gives 33.3 Å³/atom. The spin magnetization comes out at 0.00 μB/atom. The value obtained for the density is 6.667 g/cm3. The value obtained for the calculated total energy is -0.378 Ry/atom. The formation energy comes out at 13 kJ/mol of formula units.

Cell lengths 6.271, 10.861, 11.922 Å; angles 90.00, 100.07, 90.00 degrees
Space group C2/m (No. 12)
Asymmetric unit:
Tb  0.000  0.167  0.000 (multiplicity 4)
Pm  0.249  0.167  0.750 (multiplicity 8)
Pm  0.250  0.000  0.250 (multiplicity 4)
Sm  0.000  0.500  0.000 (multiplicity 2)
Y  0.000  0.000  0.500 (multiplicity 2)
Y  0.000  0.333  0.500 (multiplicity 4)



Compound: Tb2Pm4Sm2Y
Source: Alexandria
Functional: PBE-GGA
Structure: optimized geometry

Summary:
For the volume, the calculation gives 33.5 Å³/atom. The spin magnetization comes out at 0.00 μB/atom. The value obtained for the density is 7.097 g/cm3. The value obtained for the calculated total energy is -0.359 Ry/atom. The formation energy comes out at 14 kJ/mol of formula units.

Cell lengths 15.366, 5.122, 8.074 Å; angles 90.00, 108.55, 90.00 degrees
Space group C2/m (No. 12)
Asymmetric unit:
Tb  0.167  0.000  0.000 (multiplicity 4)
Pm  0.055  0.000  0.333 (multiplicity 4)
Pm  0.222  0.500  0.332 (multiplicity 4)
Sm  0.112  0.500  0.668 (multiplicity 4)
Y  0.000  0.500  0.000 (multiplicity 2)



Compound: TbPmSm2Y2
Source: Alexandria
Functional: PBE-GGA
Structure: optimized geometry

Summary:
For the volume, the calculation gives 33.7 Å³/atom. The spin magnetization comes out at 0.00 μB/atom. The value obtained for the density is 6.422 g/cm3. The value obtained for the calculated total energy is -0.370 Ry/atom. The formation energy comes out at 147 kJ/mol of formula units.

Cell lengths 6.645, 17.818, 3.417 Å; angles 90.00, 90.00, 90.00 degrees
Space group Pnnm (No. 58)
Asymmetric unit:
Tb  0.000  0.000  0.000 (multiplicity 2)
Pm  0.000  0.500  0.000 (multiplicity 2)
Sm  0.228  0.149  0.500 (multiplicity 4)
Y  0.231  0.318  0.000 (multiplicity 4)



Compound: TbPm5SmY2
Source: Alexandria
Functional: PBE-GGA
Structure: optimized geometry

Summary:
For the volume, the calculation gives 34.4 Å³/atom. The spin magnetization comes out at 0.00 μB/atom. The value obtained for the density is 6.494 g/cm3. The value obtained for the calculated total energy is -0.365 Ry/atom. The formation energy comes out at 123 kJ/mol of formula units.

Cell lengths 5.690, 20.361, 10.700 Å; angles 90.00, 90.00, 90.00 degrees
Space group Cmc2_1 (No. 36)
Asymmetric unit:
Tb  0.000  0.089  0.000 (multiplicity 4)
Pm  0.000  0.021  0.285 (multiplicity 4)
Pm  0.000  0.107  0.568 (multiplicity 4)
Pm  0.000  0.203  0.247 (multiplicity 4)
Pm  0.000  0.218  0.852 (multiplicity 4)
Pm  0.000  0.482  0.566 (multiplicity 4)
Sm  0.000  0.298  0.552 (multiplicity 4)
Y  0.000  0.383  0.864 (multiplicity 4)
Y  0.000  0.389  0.279 (multiplicity 4)



Compound: Tb2Pm3Sm6Y
Source: Alexandria
Functional: PBE-GGA
Structure: optimized geometry

Summary:
For the volume, the calculation gives 33.5 Å³/atom. The spin magnetization comes out at 0.00 μB/atom. The value obtained for the density is 7.193 g/cm3. The value obtained for the calculated total energy is -0.356 Ry/atom. The formation energy comes out at 16 kJ/mol of formula units.

Cell lengths 6.274, 10.865, 11.996 Å; angles 90.00, 100.03, 90.00 degrees
Space group C2/m (No. 12)
Asymmetric unit:
Tb  0.000  0.167  0.000 (multiplicity 4)
Pm  0.000  0.000  0.500 (multiplicity 2)
Pm  0.000  0.333  0.500 (multiplicity 4)
Sm  0.249  0.000  0.248 (multiplicity 4)
Sm  0.250  0.167  0.752 (multiplicity 8)
Y  0.000  0.500  0.000 (multiplicity 2)



Compound: Tb2Pm2Sm2Y
Source: Alexandria
Functional: PBE-GGA
Structure: optimized geometry

Summary:
For the volume, the calculation gives 33.5 Å³/atom. The spin magnetization comes out at 0.00 μB/atom. The value obtained for the density is 7.064 g/cm3. The value obtained for the calculated total energy is -0.354 Ry/atom. The formation energy comes out at 91 kJ/mol of formula units.

Cell lengths 5.7391, 5.7391, 24.6606 Å; angles 90.00, 90.00, 120.00 degrees
Space group R-3m (No. 166, hexagonal axes)
Asymmetric unit:
Tb  0.0000  0.0000  0.0731 (multiplicity 6)
Pm  0.0000  0.0000  0.3607 (multiplicity 6)
Sm  0.0000  0.0000  0.2178 (multiplicity 6)
Y  0.0000  0.0000  0.5000 (multiplicity 3)



Compound: Tb2PmSm2Y
Source: Alexandria
Functional: PBE-GGA
Structure: optimized geometry

Summary:
For the volume, the calculation gives 33.7 Å³/atom. The spin magnetization comes out at 0.00 μB/atom. The value obtained for the density is 6.997 g/cm3. The value obtained for the calculated total energy is -0.347 Ry/atom. The formation energy comes out at 150 kJ/mol of formula units.

Cell lengths 6.671, 17.748, 3.418 Å; angles 90.00, 90.00, 90.00 degrees
Space group Pnnm (No. 58)
Asymmetric unit:
Tb  0.235  0.180  0.000 (multiplicity 4)
Pm  0.000  0.000  0.000 (multiplicity 2)
Sm  0.231  0.349  0.500 (multiplicity 4)
Y  0.000  0.500  0.000 (multiplicity 2)



Compound: Tb2Pm2SmY6
Source: Alexandria
Functional: PBE-GGA
Structure: optimized geometry

Summary:
For the volume, the calculation gives 33.2 Å³/atom. The spin magnetization comes out at 0.00 μB/atom. The value obtained for the density is 5.869 g/cm3. The value obtained for the calculated total energy is -0.405 Ry/atom. The formation energy comes out at 153 kJ/mol of formula units.

Cell lengths 5.736, 12.129, 10.507 Å; angles 90.00, 90.07, 90.00 degrees
Space group C2/m (No. 12)
Asymmetric unit:
Tb  0.000  0.131  0.000 (multiplicity 4)
Pm  0.000  0.209  0.500 (multiplicity 4)
Sm  0.000  0.500  0.500 (multiplicity 2)
Y  0.001  0.000  0.293 (multiplicity 4)
Y  0.001  0.349  0.198 (multiplicity 8)



Compound: TbPmSmY
Source: Alexandria
Functional: PBE-GGA
Structure: optimized geometry

Summary:
For the volume, the calculation gives 33.5 Å³/atom. The spin magnetization comes out at 0.00 μB/atom. The calculation puts the excess energy over the best structure of this formula in the dataset at 124.0 meV/atom. The value obtained for the density is 6.736 g/cm3. The value obtained for the calculated total energy is -0.368 Ry/atom. The formation energy comes out at 54 kJ/mol of formula units.

Cell lengths 8.121, 8.121, 8.121 Å; angles 90.00, 90.00, 90.00 degrees
Space group F-43m (No. 216)
Asymmetric unit:
Tb  0.000  0.000  0.000 (multiplicity 4)
Pm  0.000  0.000  0.500 (multiplicity 4)
Sm  0.250  0.250  0.250 (multiplicity 4)
Y  0.250  0.250  0.750 (multiplicity 4)



Compound: TbPm2Sm2Y6
Source: Alexandria
Functional: PBE-GGA
Structure: optimized geometry

Summary:
For the volume, the calculation gives 33.3 Å³/atom. The spin magnetization comes out at 0.00 μB/atom. The value obtained for the density is 5.809 g/cm3. The value obtained for the calculated total energy is -0.406 Ry/atom. The formation energy comes out at 147 kJ/mol of formula units.

Cell lengths 5.725, 12.126, 10.566 Å; angles 90.00, 90.00, 90.00 degrees
Space group Cmmm (No. 65)
Asymmetric unit:
Tb  0.000  0.000  0.000 (multiplicity 2)
Pm  0.000  0.291  0.000 (multiplicity 4)
Sm  0.000  0.369  0.500 (multiplicity 4)
Y  0.000  0.151  0.299 (multiplicity 8)
Y  0.000  0.500  0.204 (multiplicity 4)



Compound: TbPm2Sm4Y2
Source: Alexandria
Functional: PBE-GGA
Structure: optimized geometry

Summary:
For the volume, the calculation gives 33.5 Å³/atom. The spin magnetization comes out at 0.00 μB/atom. The value obtained for the density is 6.768 g/cm3. The value obtained for the calculated total energy is -0.375 Ry/atom. The formation energy comes out at 2 kJ/mol of formula units.

Cell lengths 18.915, 3.648, 9.695 Å; angles 90.00, 115.71, 90.00 degrees
Space group C2/m (No. 12)
Asymmetric unit:
Tb  0.000  0.000  0.000 (multiplicity 2)
Pm  0.166  0.500  0.000 (multiplicity 4)
Sm  0.019  0.500  0.334 (multiplicity 4)
Sm  0.185  0.000  0.334 (multiplicity 4)
Y  0.148  0.000  0.667 (multiplicity 4)



Compound: Tb3PmSm6Y2
Source: Alexandria
Functional: PBE-GGA
Structure: optimized geometry

Summary:
For the volume, the calculation gives 33.1 Å³/atom. The spin magnetization comes out at 0.00 μB/atom. The value obtained for the density is 7.116 g/cm3. The value obtained for the calculated total energy is -0.366 Ry/atom. The formation energy comes out at 15 kJ/mol of formula units.

Cell lengths 6.249, 10.818, 11.930 Å; angles 90.00, 100.02, 90.00 degrees
Space group C2/m (No. 12)
Asymmetric unit:
Tb  0.000  0.000  0.000 (multiplicity 2)
Tb  0.000  0.333  0.000 (multiplicity 4)
Pm  0.000  0.500  0.500 (multiplicity 2)
Sm  0.249  0.167  0.249 (multiplicity 8)
Sm  0.249  0.500  0.249 (multiplicity 4)
Y  0.000  0.167  0.500 (multiplicity 4)